Compound: CsLiTe2
Source: Alexandria via LeMat-Bulk
Functional: GGA-PBE
Structure: optimized geometry

```
CsLiTe2
1.0
17.813 0.000 1.982
0.000 7.055 0.000
-5.866 0.000 4.249
Cs Te Li
4 8 4
Cartesian
-2.108 0.172 4.398
14.054 6.884 1.834
2.215 3.699 2.967
9.732 3.356 3.264
12.101 5.945 5.315
-0.154 1.111 0.916
5.819 2.417 4.032
6.128 4.638 2.199
-1.979 3.710 3.199
13.926 3.345 3.033
2.086 0.183 4.166
9.861 6.873 2.065
7.187 0.446 2.487
4.760 6.609 3.744
16.599 3.974 2.610
-4.652 3.082 3.621
```

The calculation puts the formation energy from raw total energies at -0.750 eV/atom. As for the calculated density: 4.26 g/cm³. The density of states at the Fermi level comes out at 0.00 states/eV per atom.